DFT (PBEsol) results for a geometry-optimized AlCrRu2 structure.

It has space group Cmm2 (No. 35), with a = 2.817 Å, b = 4.430 Å, c = 8.429 Å, α = 90.00°, β = 90.00° and γ = 90.00°. The distinct sites, in fractional coordinates, are Al at (0.000, 0.000, 0.000), Cr at (0.000, 0.500, 0.752), Ru at (0.000, 0.000, 0.514) and Ru at (0.000, 0.500, 0.245).

Its energy of formation from the pure elements is 0.1887 eV/atom.